BC after structural relaxation, computed with PBE-GGA.

Geometry as extended XYZ:
```
12
Lattice="6.635 -1.291 0.000 6.635 1.291 0.000 -0.886 0.000 4.682" Properties=species:S:1:pos:R:3 pbc="T T T"
B 0.000 0.000 0.000
B 6.268 0.000 2.702
B 8.086 0.000 1.767
B 7.986 0.000 3.429
B 9.863 0.000 2.687
B 12.081 0.000 1.817
C 1.332 0.000 0.821
C 1.486 0.000 4.431
C 3.785 0.000 0.303
C 3.738 0.000 3.675
C 5.185 0.000 4.017
C 10.692 0.000 1.156
```

Computed properties:
Symmetry: Cm (8)
Energy of formation from the pure elements, meV per atom: 348

=====

B7C5 after structural relaxation, computed with PBE-GGA.

Geometry as extended XYZ:
```
12
Lattice="4.141 0.000 0.000 0.000 2.660 0.000 -0.050 0.000 7.890" Properties=species:S:1:pos:R:3 pbc="T T T"
B 0.000 0.000 0.000
B 0.011 0.000 5.722
B 0.574 1.330 2.414
B 1.973 1.330 4.453
B 2.725 0.000 1.457
B 2.754 0.000 6.873
B 2.924 0.000 3.832
C 0.875 1.330 5.514
C 0.950 1.330 0.162
C 1.804 1.330 1.393
C 1.777 1.330 6.786
C 3.946 0.000 2.697
```

Computed properties:
Symmetry: Pm (6)
Energy of formation from the pure elements, meV per atom: 400

=====

BC after structural relaxation, computed with PBE-GGA.

Geometry as extended XYZ:
```
10
Lattice="-2.742 2.742 2.151 2.742 -2.742 2.151 2.742 2.742 -2.151" Properties=species:S:1:pos:R:3 pbc="T T T"
B 0.000 0.000 0.000
B 1.542 2.258 -0.920
B 1.199 0.484 1.231
B 3.225 1.542 0.920
B -0.484 1.199 3.072
C 2.058 0.990 -0.101
C 1.752 -0.683 2.252
C 0.990 3.425 0.101
C 0.000 2.742 1.076
C 0.683 1.752 2.050
```

Computed properties:
Symmetry: I-4 (82)
Energy of formation from the pure elements, meV per atom: 427

=====

B3C after structural relaxation, computed with PBE-GGA.

Geometry as extended XYZ:
```
12
Lattice="4.986 0.000 0.000 0.000 2.756 0.000 -1.606 0.000 6.437" Properties=species:S:1:pos:R:3 pbc="T T T"
B 0.000 0.000 0.000
B -1.078 0.000 4.599
B -0.127 1.378 1.109
B 0.056 1.378 4.404
B 1.111 0.000 1.187
B 0.849 1.378 2.650
B 2.220 0.000 5.133
B 3.619 1.378 0.108
B 4.003 1.378 2.902
C 1.762 0.000 2.541
C 1.397 1.378 5.165
C 3.159 0.000 3.074
```

Computed properties:
Symmetry: Pm (6)
Energy of formation from the pure elements, meV per atom: 359

=====

BC after structural relaxation, computed with PBE-GGA.

Geometry as extended XYZ:
```
12
Lattice="3.792 0.000 0.000 -0.106 3.918 0.000 -0.199 -1.857 5.554" Properties=species:S:1:pos:R:3 pbc="T T T"
B 0.000 0.000 0.000
B -0.052 -0.317 3.409
B 0.226 1.923 1.450
B 1.062 0.740 4.193
B 2.015 -0.273 1.554
B 2.816 0.947 2.829
C 0.947 2.758 2.616
C 1.156 0.824 0.699
C 1.828 1.935 3.529
C 1.830 -0.132 5.326
C 2.761 -1.075 4.424
C 2.898 2.681 0.645
```

Computed properties:
Symmetry: P1 (1)
Energy of formation from the pure elements, meV per atom: 356

=====

B3C after structural relaxation, computed with PBE-GGA.

Geometry as extended XYZ:
```
12
Lattice="2.712 0.000 0.000 -1.356 2.349 0.000 0.000 0.000 15.467" Properties=species:S:1:pos:R:3 pbc="T T T"
B 0.000 0.000 0.000
B 0.000 0.000 1.667
B 0.000 0.000 10.076
B 0.000 1.566 2.690
B 0.000 1.566 10.949
B 0.000 1.566 12.758
B 1.356 0.783 4.372
B 1.356 0.783 8.379
B 1.356 0.783 14.516
C 0.000 0.000 8.495
C 0.000 1.566 4.259
C 1.356 0.783 12.905
```

Computed properties:
Symmetry: P3m1 (156)
Energy of formation from the pure elements, meV per atom: 431

=====

BC after structural relaxation, computed with PBE-GGA.

Geometry as extended XYZ:
```
12
Lattice="2.555 0.000 0.000 -1.278 2.213 0.000 0.000 0.000 14.167" Properties=species:S:1:pos:R:3 pbc="T T T"
B 0.000 0.000 0.000
B 0.000 0.000 1.693
B 0.000 0.000 8.298
B 0.000 1.475 9.361
B 1.278 0.738 6.055
B 1.278 0.738 13.055
C 0.000 0.000 6.774
C 0.000 1.475 2.411
C 0.000 1.475 3.909
C 0.000 1.475 10.944
C 1.278 0.738 4.448
C 1.278 0.738 11.473
```

Computed properties:
Symmetry: P3m1 (156)
Energy of formation from the pure elements, meV per atom: 426

=====

B7C5 after structural relaxation, computed with PBE-GGA.

Geometry as extended XYZ:
```
12
Lattice="4.635 0.000 0.000 0.509 4.635 0.000 1.455 2.150 3.877" Properties=species:S:1:pos:R:3 pbc="T T T"
B 0.000 0.000 0.000
B 1.053 5.423 1.438
B 2.298 4.777 0.276
B 2.283 1.821 0.773
B 3.251 3.322 0.728
B 4.017 3.216 2.957
B 3.914 5.407 1.485
C 0.887 2.410 1.287
C 1.651 4.494 2.656
C 3.110 4.259 2.181
C 4.748 3.074 0.152
C 5.563 3.095 2.649
```

Computed properties:
Symmetry: P1 (1)
Energy of formation from the pure elements, meV per atom: 419

=====

B3C after structural relaxation, computed with PBE-GGA.

Geometry as extended XYZ:
```
12
Lattice="4.850 0.000 0.000 0.000 2.686 0.000 -0.123 0.000 8.374" Properties=species:S:1:pos:R:3 pbc="T T T"
B 0.000 0.000 0.000
B -0.079 0.000 6.682
B 0.838 1.343 2.733
B 0.944 1.343 6.590
B 1.616 0.000 1.037
B 2.510 1.343 0.076
B 3.163 0.000 6.713
B 3.258 0.000 2.730
B 4.122 1.343 1.059
C 1.654 0.000 2.608
C 2.410 1.343 6.887
C 4.081 1.343 2.619
```

Computed properties:
Symmetry: Pm (6)
Energy of formation from the pure elements, meV per atom: 362

=====

B7C5 after structural relaxation, computed with PBE-GGA.

Geometry as extended XYZ:
```
12
Lattice="4.261 0.000 0.000 0.454 4.767 0.000 1.367 2.167 4.196" Properties=species:S:1:pos:R:3 pbc="T T T"
B 0.000 0.000 0.000
B 0.860 3.018 1.810
B 1.374 5.104 2.370
B 1.770 3.976 3.845
B 3.071 3.994 0.717
B 3.114 1.225 0.491
B 4.532 4.947 3.661
C 1.602 1.760 2.552
C 1.521 4.197 1.046
C 3.320 3.887 3.466
C 2.870 1.932 1.916
C 3.600 3.141 2.173
```

Computed properties:
Symmetry: P1 (1)
Energy of formation from the pure elements, meV per atom: 420

=====

B7C5 after structural relaxation, computed with PBE-GGA.

Geometry as extended XYZ:
```
12
Lattice="6.128 -1.317 0.000 6.128 1.317 0.000 -1.275 0.000 5.392" Properties=species:S:1:pos:R:3 pbc="T T T"
B 0.000 0.000 0.000
B -0.631 0.000 2.780
B 2.340 0.000 2.589
B 2.111 0.000 4.817
B 4.440 0.000 0.761
B 7.366 0.000 0.594
B 7.000 0.000 4.528
C 3.442 0.000 3.733
C 6.531 0.000 3.048
C 7.742 0.000 2.090
C 10.411 0.000 3.875
C 11.189 0.000 1.210
```

Computed properties:
Symmetry: Cm (8)
Energy of formation from the pure elements, meV per atom: 430

=====

BC after structural relaxation, computed with PBE-GGA.

Geometry as extended XYZ:
```
12
Lattice="2.415 0.000 0.000 0.000 2.550 0.000 0.000 0.000 12.982" Properties=species:S:1:pos:R:3 pbc="T T T"
B 0.000 0.000 0.000
B 0.000 0.000 3.943
B 0.000 1.275 7.400
B 0.000 1.275 11.741
B 1.208 0.000 5.325
B 1.208 1.275 10.357
C 0.000 0.000 8.486
C 0.000 1.275 2.939
C 1.208 0.000 1.152
C 1.208 0.000 9.335
C 1.208 1.275 2.023
C 1.208 1.275 6.276
```

Computed properties:
Symmetry: Pmm2 (25)
Energy of formation from the pure elements, meV per atom: 370